Entry 1:
# Ba2CdSb

Ba2CdSb at its PBEsol-relaxed geometry (meta-GGA SCAN, Alexandria).

Properties
energy relative to the elements, uncorrected: -0.771 eV/atom
energy: -37.465 eV/atom
space-group type: P4/mmm
ΔE to the lowest computed polymorph: 40 meV/atom
DOS at the Fermi energy: 0.345 states/eV per atom
size of the total moment: 0.0 μB per cell

Lattice parameters (Å, degrees): 5.629 5.629 4.517 90.00 90.00 90.00
Element x y z (fractional)
Ba (0.000, 0.500, 0.000)
Ba (0.500, 0.000, 0.000)
Cd (0.000, 0.000, 0.500)
Sb (0.500, 0.500, 0.500)

=====

Entry 2:
# In2TcTe

In2TcTe at its PBEsol-relaxed geometry (meta-GGA SCAN, Alexandria).

Properties
energy relative to the elements, uncorrected: 0.522 eV/atom
energy: -34.249 eV/atom
space-group type: Cmmm
DOS at the Fermi energy: 0.610 states/eV per atom
size of the total moment: 2.3 μB per cell

Lattice parameters (Å, degrees): 5.811 8.376 3.359 90.00 90.00 90.00
Element x y z (fractional)
In (0.250, 0.250, 0.000)
In (0.250, 0.750, 0.000)
In (0.750, 0.250, 0.000)
In (0.750, 0.750, 0.000)
Tc (0.000, 0.000, 0.500)
Tc (0.500, 0.500, 0.500)
Te (0.000, 0.500, 0.500)
Te (0.500, 0.000, 0.500)

=====

Entry 3:
# LiMoOs2

LiMoOs2 at its PBEsol-relaxed geometry (meta-GGA SCAN, Alexandria).

Properties
energy: -45.233 eV/atom
space-group type: Fm-3m
ΔE to the lowest computed polymorph: 0 meV/atom
DOS at the Fermi energy: 0.762 states/eV per atom
size of the total moment: 0.0 μB per cell

Lattice parameters (Å, degrees): 6.007 6.007 6.007 90.00 90.00 90.00
Element x y z (fractional)
Li (0.000, 0.000, 0.000)
Li (0.000, 0.500, 0.500)
Li (0.500, 0.000, 0.500)
Li (0.500, 0.500, 0.000)
Mo (0.000, 0.000, 0.500)
Mo (0.000, 0.500, 0.000)
Mo (0.500, 0.000, 0.000)
Mo (0.500, 0.500, 0.500)
Os (0.250, 0.250, 0.250)
Os (0.250, 0.250, 0.750)
Os (0.250, 0.750, 0.250)
Os (0.250, 0.750, 0.750)
Os (0.750, 0.250, 0.250)
Os (0.750, 0.250, 0.750)
Os (0.750, 0.750, 0.250)
Os (0.750, 0.750, 0.750)

=====

Entry 4:
# La2Ag3

La2Ag3 at its PBEsol-relaxed geometry (meta-GGA SCAN, Alexandria).

Properties
energy: -36.323 eV/atom
space-group type: Fdd2
ΔE to the lowest computed polymorph: 22 meV/atom
DOS at the Fermi energy: 0.988 states/eV per atom
size of the total moment: 0.0 μB per cell

Lattice parameters (Å, degrees): 8.739 6.039 9.712 62.36 37.75 79.89
Element x y z (fractional)
La (0.227, 0.773, 0.379)
La (0.629, 0.871, 0.477)
La (0.773, 0.227, 0.621)
La (0.871, 0.629, 0.023)
Ag (0.186, 0.802, 0.059)
Ag (0.191, 0.296, 0.064)
Ag (0.296, 0.191, 0.448)
Ag (0.322, 0.322, 0.678)
Ag (0.572, 0.572, 0.928)
Ag (0.802, 0.186, 0.954)

=====

Entry 5:
# InHgW2

InHgW2 at its PBEsol-relaxed geometry (meta-GGA SCAN, Alexandria).

Properties
energy: -59.163 eV/atom
space-group type: P4/mmm
ΔE to the lowest computed polymorph: 511 meV/atom
DOS at the Fermi energy: 0.555 states/eV per atom
size of the total moment: 0.0 μB per cell

Lattice parameters (Å, degrees): 4.930 4.930 2.880 90.00 90.00 90.00
Element x y z (fractional)
In (0.000, 0.000, 0.000)
Hg (0.500, 0.500, 0.000)
W (0.000, 0.500, 0.500)
W (0.500, 0.000, 0.500)

=====

Entry 6:
# ReGe3S

ReGe3S at its PBEsol-relaxed geometry (meta-GGA SCAN, Alexandria).

Properties
energy relative to the elements, uncorrected: 0.415 eV/atom
energy: -27.182 eV/atom
space-group type: Pm-3m
DOS at the Fermi energy: 1.024 states/eV per atom
size of the total moment: 0.7 μB per cell

Lattice parameters (Å, degrees): 4.759 4.759 4.759 90.00 90.00 90.00
Element x y z (fractional)
Re (0.000, 0.000, 0.000)
Ge (0.000, 0.000, 0.500)
Ge (0.000, 0.500, 0.000)
Ge (0.500, 0.000, 0.000)
S (0.500, 0.500, 0.500)

=====

Entry 7:
# LiCaTc2

LiCaTc2 at its PBEsol-relaxed geometry (meta-GGA SCAN, Alexandria).

Properties
energy: -20.229 eV/atom
space-group type: Pm
ΔE to the lowest computed polymorph: 101 meV/atom
DOS at the Fermi energy: 0.588 states/eV per atom
size of the total moment: 0.0 μB per cell

Lattice parameters (Å, degrees): 2.836 4.123 6.127 90.00 101.29 90.00
Element x y z (fractional)
Li (0.000, 0.000, 0.000)
Ca (0.313, 0.500, 0.703)
Tc (0.540, 0.000, 0.387)
Tc (0.810, 0.500, 0.247)

=====

Entry 8:
# Zn2CdAu

Zn2CdAu at its PBEsol-relaxed geometry (meta-GGA SCAN, Alexandria).

Properties
energy: -31.742 eV/atom
space-group type: P4/mmm
ΔE to the lowest computed polymorph: 10 meV/atom
DOS at the Fermi energy: 0.176 states/eV per atom
size of the total moment: 0.0 μB per cell

Lattice parameters (Å, degrees): 3.391 3.391 5.704 90.00 90.00 90.00
Element x y z (fractional)
Zn (0.000, 0.000, 0.233)
Zn (0.000, 0.000, 0.767)
Cd (0.500, 0.500, 0.500)
Au (0.500, 0.500, 0.000)